Model A:
# CuAu4 | Alexandria via LeMat-Bulk | GGA-PBEsol | optimized geometry
data_CuAu4
_space_group_name_H-M_alt 'I 4/m'
_space_group_IT_number 87
_space_group_name_Hall '-I 4'
_cell_length_a 6.3818
_cell_length_b 6.3818
_cell_length_c 3.9235
_cell_angle_alpha 90.00
_cell_angle_beta 90.00
_cell_angle_gamma 90.00
loop_
_atom_site_label
_atom_site_fract_x
_atom_site_fract_y
_atom_site_fract_z
Cu1 0.0000 0.0000 0.0000
Au1 0.1002 0.7055 0.5000
# DOS at the Fermi energy	2.92	states/eV per cell
# crystal system	tetragonal

=====

Model B:
# CuAu4 | Alexandria via LeMat-Bulk | GGA-PBEsol | optimized geometry
data_CuAu4
_space_group_name_H-M_alt 'R -3 m'
_space_group_IT_number 166
_space_group_name_Hall '-R 3 2"'
_cell_length_a 2.8589
_cell_length_b 2.8589
_cell_length_c 33.9317
_cell_angle_alpha 90.00
_cell_angle_beta 90.00
_cell_angle_gamma 120.00
loop_
_atom_site_label
_atom_site_fract_x
_atom_site_fract_y
_atom_site_fract_z
Cu1 0.0000 0.0000 0.0000
Au1 0.0000 0.0000 0.2018
Au2 0.0000 0.0000 0.3940
# DOS at the Fermi energy	5.10	states/eV per cell
# crystal system	trigonal

=====

Model C:
# CuAu4 | Alexandria via LeMat-Bulk | GGA-PBEsol | optimized geometry
data_CuAu4
_space_group_name_H-M_alt 'I 4/m m m'
_space_group_IT_number 139
_space_group_name_Hall '-I 4 2'
_cell_length_a 2.8463
_cell_length_b 2.8463
_cell_length_c 19.5809
_cell_angle_alpha 90.00
_cell_angle_beta 90.00
_cell_angle_gamma 90.00
loop_
_atom_site_label
_atom_site_fract_x
_atom_site_fract_y
_atom_site_fract_z
Cu1 0.0000 0.0000 0.0000
Au1 0.0000 0.0000 0.1967
Au2 0.0000 0.0000 0.4108
# DOS at the Fermi energy	2.61	states/eV per cell
# crystal system	tetragonal

=====

Order from most stable to least stable according to the calculation: model C, model A, model B